DFT (PBEsol) results for an optimized crystal structure of Tl2CdSb.

Cell and atoms, written as POSCAR:
```
Tl2CdSb
1.0
3.259 0.000 0.000
0.000 4.791 0.000
-1.594 0.000 6.921
Tl Cd Sb
2 1 1
direct
0.000 0.000 0.000
0.358 0.500 0.711
0.604 0.500 0.211
0.735 0.000 0.462
```

Output
Total magnetization, μB/f.u.: 0.0
Space group: Pm
ΔE to the lowest computed polymorph, eV per atom: 0.000
ρ, g/cm³: 9.9

DFT (PBEsol) results for an optimized crystal structure of TmSbMo2O9.

Cell and atoms, written as POSCAR:
```
TmSbMo2O9
1.0
6.387 -6.960 0.000
6.387 6.960 0.000
-5.949 0.000 8.762
Tm Sb Mo O
4 4 8 36
direct
0.126 0.874 0.750
0.330 0.670 0.250
0.670 0.330 0.750
0.874 0.126 0.250
0.343 0.383 0.465
0.383 0.343 0.965
0.617 0.657 0.035
0.657 0.617 0.535
0.047 0.260 0.028
0.056 0.435 0.694
0.260 0.047 0.528
0.435 0.056 0.194
0.565 0.944 0.806
0.740 0.953 0.472
0.944 0.565 0.306
0.953 0.740 0.972
0.028 0.694 0.500
0.044 0.221 0.177
0.069 0.094 0.899
0.094 0.069 0.399
0.095 0.550 0.246
0.133 0.703 0.069
0.147 0.623 0.730
0.205 0.360 0.796
0.221 0.044 0.677
0.224 0.405 0.079
0.297 0.867 0.431
0.306 0.972 0.000
0.360 0.205 0.296
0.377 0.853 0.770
0.405 0.224 0.579
0.422 0.540 0.397
0.450 0.905 0.254
0.460 0.578 0.103
0.540 0.422 0.897
0.550 0.095 0.746
0.578 0.460 0.603
0.595 0.776 0.421
0.623 0.147 0.230
0.640 0.795 0.704
0.694 0.028 0.000
0.703 0.133 0.569
0.776 0.595 0.921
0.779 0.956 0.323
0.795 0.640 0.204
0.853 0.377 0.270
0.867 0.297 0.931
0.905 0.450 0.754
0.906 0.931 0.601
0.931 0.906 0.101
0.956 0.779 0.823
0.972 0.306 0.500
```

Output
Total magnetization, μB/f.u.: 0.0
Space group: C2/c
ρ, g/cm³: 5.3

Total DFT energy (no corrections), respectively: -2.72; -8.41 eV per atom.
DOS at the Fermi energy, respectively: 1.85; 0.00 states/eV/cell.
Uncorrected formation energy, respectively: 0.0368; -2.2403 eV per atom.